No. 1
Entry from Alexandria: a geometry-optimized Rb2DyU2Se6 structure (PBE).

CIF file:
```
data_Rb2DyU2Se6
_cell_length_a 7.253
_cell_length_b 12.566
_cell_length_c 8.553
_cell_angle_alpha 90.00
_cell_angle_beta 106.24
_cell_angle_gamma 90.00
_symmetry_space_group_name_H-M 'C 1 2/m 1'
_symmetry_Int_Tables_number 12
_symmetry_space_group_name_Hall '-C 2y'
loop_
_atom_site_label
_atom_site_type_symbol
_atom_site_fract_x
_atom_site_fract_y
_atom_site_fract_z
_atom_site_occupancy
Rb1 Rb 0.000 0.166 0.000 1
Dy1 Dy 0.000 0.000 0.500 1
U1 U 0.000 0.334 0.500 1
Se1 Se 0.230 0.167 0.692 1
Se2 Se 0.230 0.500 0.692 1
```

- E_form (uncorrected) (eV/atom) = -1.419
- uncorrected energy (eV/atom) = -5.967

No. 2
Entry from Alexandria: a geometry-optimized Rb3Dy3USe8 structure (PBE).

CIF file:
```
data_Rb3Dy3USe8
_cell_length_a 14.540
_cell_length_b 8.405
_cell_length_c 9.473
_cell_angle_alpha 90.00
_cell_angle_beta 120.80
_cell_angle_gamma 90.00
_symmetry_space_group_name_H-M 'C 1 2/m 1'
_symmetry_Int_Tables_number 12
_symmetry_space_group_name_Hall '-C 2y'
loop_
_atom_site_label
_atom_site_type_symbol
_atom_site_fract_x
_atom_site_fract_y
_atom_site_fract_z
_atom_site_occupancy
Rb1 Rb 0.000 0.000 0.000 1
Rb2 Rb 0.250 0.250 0.000 1
Dy1 Dy 0.000 0.500 0.500 1
Dy2 Dy 0.250 0.250 0.500 1
U1 U 0.000 0.000 0.500 1
Se1 Se 0.019 0.248 0.309 1
Se2 Se 0.229 0.000 0.691 1
Se3 Se 0.232 0.500 0.694 1
```

- E_form (uncorrected) (eV/atom) = -1.629
- uncorrected energy (eV/atom) = -5.354

No. 3
Entry from Alexandria: a geometry-optimized Rb2DyUSe6 structure (PBE).

CIF file:
```
data_Rb2DyUSe6
_cell_length_a 7.761
_cell_length_b 10.979
_cell_length_c 7.765
_cell_angle_alpha 90.00
_cell_angle_beta 90.00
_cell_angle_gamma 90.00
_symmetry_space_group_name_H-M 'P m m n'
_symmetry_Int_Tables_number 59
loop_
_symmetry_equiv_pos_as_xyz
'x,y,z'
'-x,-y,-z'
'-x+1/2,-y+1/2,z'
'x+1/2,y+1/2,-z'
'x+1/2,-y,-z'
'-x+1/2,y,z'
'-x,y+1/2,-z'
'x,-y+1/2,z'
loop_
_atom_site_label
_atom_site_type_symbol
_atom_site_fract_x
_atom_site_fract_y
_atom_site_fract_z
_atom_site_occupancy
Rb1 Rb 0.250 0.000 0.250 1
Dy1 Dy 0.250 0.250 0.749 1
U1 U 0.250 0.750 0.751 1
Se1 Se 0.006 0.750 0.507 1
Se2 Se 0.006 0.750 0.994 1
Se3 Se 0.250 0.506 0.751 1
```

- E_form (uncorrected) (eV/atom) = -1.231
- uncorrected energy (eV/atom) = -5.104

No. 4
Entry from Alexandria: a geometry-optimized Rb3DyU2Se6 structure (PBE).

CIF file:
```
data_Rb3DyU2Se6
_cell_length_a 7.361
_cell_length_b 12.750
_cell_length_c 8.409
_cell_angle_alpha 90.00
_cell_angle_beta 106.97
_cell_angle_gamma 90.00
_symmetry_space_group_name_H-M 'C 1 2/m 1'
_symmetry_Int_Tables_number 12
_symmetry_space_group_name_Hall '-C 2y'
loop_
_atom_site_label
_atom_site_type_symbol
_atom_site_fract_x
_atom_site_fract_y
_atom_site_fract_z
_atom_site_occupancy
Rb1 Rb 0.000 0.000 0.000 1
Rb2 Rb 0.000 0.333 0.000 1
Dy1 Dy 0.000 0.500 0.500 1
U1 U 0.000 0.167 0.500 1
Se1 Se 0.232 0.334 0.698 1
Se2 Se 0.234 0.000 0.698 1
```

- E_form (uncorrected) (eV/atom) = -1.373
- uncorrected energy (eV/atom) = -5.622